Entry 1:
Here is an optimized crystal structure of U2SeN2 from Alexandria via LeMat-Bulk. Energies are from PBE-GGA.

Results
Total DFT energy (no corrections) (Ry/atom): -0.726
DOS at the Fermi energy (states/eV/f.u.): 7.8
Total magnetic moment (μB/f.u.): 4.0
Energy relative to the elements, uncorrected (meV per atom): -1334
Volume (Å³ per atom): 18.0

Cell: 6.0981 6.0981 6.2489 Å, 112.14 112.14 103.15°
Closest atoms and distances in Å follow each position.
Fractional coordinates of all 10 atoms:
U (0.1932, 0.8068, 0.0000)  4 N 2.28-2.29
U (0.8068, 0.1932, 0.0000)  4 N 2.28-2.29
U (0.0568, 0.9432, 0.5000)  4 N 2.28-2.29
U (0.4432, 0.5568, 0.5000)  4 N 2.28-2.29
Se (0.5000, 0.5000, 0.0000)  6 U 2.93-3.17, 4 N 3.25
Se (0.7500, 0.2500, 0.5000)  6 U 2.93-3.17, 4 N 3.25
N (0.8643, 0.8643, 0.7286)  4 U 2.28-2.29
N (0.1357, 0.1357, 0.2714)  4 U 2.28-2.29
N (0.1143, 0.6143, 0.2286)  4 U 2.28-2.29
N (0.3857, 0.8857, 0.7714)  4 U 2.28-2.29

***

Entry 2:
Here is an optimized crystal structure of TlGeI2N from Alexandria via LeMat-Bulk. Energies are from PBE-GGA.

Results
Total DFT energy (no corrections) (Ry/atom): -0.195
DOS at the Fermi energy (states/eV/f.u.): 5.0
ΔE to the lowest computed polymorph (meV per atom): 774
Total magnetic moment (μB/f.u.): 0.5
Energy relative to the elements, uncorrected (meV per atom): 1023
Volume (Å³ per atom): 32.0

Cell: 6.2426 6.2426 4.1111 Å, 90.00 90.00 90.00°
Closest atoms and distances in Å follow each position.
Fractional coordinates of all 5 atoms:
I (0.0000, 0.5000, 0.0000)  2 Tl 3.12
I (0.5000, 0.0000, 0.0000)  2 Tl 3.12
Tl (0.0000, 0.0000, 0.0000)  2 N 2.06
Ge (0.5000, 0.5000, 0.5000)  8 I 3.74, 2 Ge 4.11
N (0.0000, 0.0000, 0.5000)  2 Tl 2.06

***

Entry 3:
Here is an optimized crystal structure of CaYTl2 from Alexandria via LeMat-Bulk. Energies are from PBE-GGA.

Results
Total DFT energy (no corrections) (Ry/atom): -0.264
DOS at the Fermi energy (states/eV/f.u.): 2.6
Total magnetic moment (μB/f.u.): 0.0
Formation energy from the elements (eV per atom): -0.287
Volume (Å³ per atom): 30.3

Cell: 10.2477 10.2477 10.2477 Å, 21.01 21.01 21.01°
Closest atoms and distances in Å follow each position.
Fractional coordinates of all 4 atoms:
Y (0.2500, 0.2500, 0.2500)  6 Tl 3.29
Tl (0.9995, 0.9995, 0.9995)  3 Y 3.29, 3 Ca 3.32
Tl (0.5005, 0.5005, 0.5005)  3 Y 3.29, 3 Ca 3.32
Ca (0.7500, 0.7500, 0.7500)  6 Tl 3.32

***

Entry 4:
Here is an optimized crystal structure of TmGe2Pd8 from Alexandria via LeMat-Bulk. Energies are from PBE-GGA.

Results
Total DFT energy (no corrections) (Ry/atom): -0.410
DOS at the Fermi energy (states/eV/f.u.): 4.7
Total magnetic moment (μB/f.u.): 0.0
Formation energy from the elements (eV per atom): -0.555
Volume (Å³ per atom): 16.8

Cell: 4.5249 6.7805 6.7805 Å, 112.27 99.26 99.26°
Closest atoms and distances in Å follow each position.
Fractional coordinates of all 11 atoms:
Tm (0.5000, 0.0000, 0.0000)  12 Pd 2.75-3.02
Ge (0.0000, 0.3205, 0.6795)  8 Pd 2.42-2.60
Ge (0.0000, 0.6795, 0.3205)  8 Pd 2.42-2.60
Pd (0.9069, 0.9313, 0.6792)  2 Ge 2.53-2.60, 1 Pd 2.82
Pd (0.9069, 0.6792, 0.9313)  2 Ge 2.53-2.60, 1 Pd 2.82
Pd (0.3183, 0.6129, 0.6129)  2 Ge 2.49, 1 Pd 2.69
Pd (0.5000, 0.7560, 0.2440)  2 Ge 2.42
Pd (0.5000, 0.2440, 0.7560)  2 Ge 2.42
Pd (0.6817, 0.3871, 0.3871)  2 Ge 2.49, 1 Pd 2.69
Pd (0.0931, 0.3208, 0.0687)  2 Ge 2.53-2.60, 1 Pd 2.82
Pd (0.0931, 0.0687, 0.3208)  2 Ge 2.53-2.60, 1 Pd 2.82

***

Entry 5:
Here is an optimized crystal structure of Th2CoW from Alexandria via LeMat-Bulk. Energies are from PBE-GGA.

Results
Total DFT energy (no corrections) (Ry/atom): -0.576
DOS at the Fermi energy (states/eV/f.u.): 5.6
Total magnetic moment (μB/f.u.): 0.0
Formation energy from the elements (eV per atom): 0.882
Volume (Å³ per atom): 24.0

Cell: 3.4734 3.4734 9.3950 Å, 79.35 79.35 60.00°
Closest atoms and distances in Å follow each position.
Fractional coordinates of all 4 atoms:
Co (0.5000, 0.5000, 0.5000)  6 Th 2.72
W (0.0000, 0.0000, 0.0000)  2 Th 2.75
Th (0.0999, 0.0999, 0.7003)  3 Co 2.72, 1 W 2.75
Th (0.9001, 0.9001, 0.2997)  3 Co 2.72, 1 W 2.75

***

Please write out number 1 again, unchanged.
Here is an optimized crystal structure of U2SeN2 from Alexandria via LeMat-Bulk. Energies are from PBE-GGA.

Results
Total DFT energy (no corrections) (Ry/atom): -0.726
DOS at the Fermi energy (states/eV/f.u.): 7.8
Total magnetic moment (μB/f.u.): 4.0
Energy relative to the elements, uncorrected (meV per atom): -1334
Volume (Å³ per atom): 18.0

Cell: 6.0981 6.0981 6.2489 Å, 112.14 112.14 103.15°
Closest atoms and distances in Å follow each position.
Fractional coordinates of all 10 atoms:
U (0.1932, 0.8068, 0.0000)  4 N 2.28-2.29
U (0.8068, 0.1932, 0.0000)  4 N 2.28-2.29
U (0.0568, 0.9432, 0.5000)  4 N 2.28-2.29
U (0.4432, 0.5568, 0.5000)  4 N 2.28-2.29
Se (0.5000, 0.5000, 0.0000)  6 U 2.93-3.17, 4 N 3.25
Se (0.7500, 0.2500, 0.5000)  6 U 2.93-3.17, 4 N 3.25
N (0.8643, 0.8643, 0.7286)  4 U 2.28-2.29
N (0.1357, 0.1357, 0.2714)  4 U 2.28-2.29
N (0.1143, 0.6143, 0.2286)  4 U 2.28-2.29
N (0.3857, 0.8857, 0.7714)  4 U 2.28-2.29

***

total DFT energy (no corrections) of number 5 (Th2CoW)? -0.576 Ry/atom